Density functional theory data (PBE-GGA) for a relaxed TlCr2Co crystal.

Calculated values
- Energy of formation: 0.932 eV per atom
- DFT total energy: -6.25 eV per atom
- Spin magnetization: 2.21 μB/f.u.

a = 6.9707 Å, b = 6.9707 Å, c = 5.5552 Å
α = 51.14°, β = 51.14°, γ = 90.00°
Closest atoms and distances in Å follow each position.
Element x y z (fractional)
1 Tl 0.7500 0.2500 0.5000  2 Co 2.56, 4 Cr 2.86
2 Tl 0.0000 0.0000 0.0000  2 Co 2.56, 4 Cr 2.86
3 Cr 0.3750 0.4370 0.7500  2 Co 2.27
4 Cr 0.1870 0.6250 0.2500  2 Co 2.27
5 Cr 0.8750 0.8130 0.7500  2 Co 2.27
6 Cr 0.5630 0.1250 0.2500  2 Co 2.27
7 Co 0.2500 0.7500 0.5000  4 Cr 2.27
8 Co 0.5000 0.5000 0.0000  4 Cr 2.27